(1)
# Li3Mn2O5 PBE with a Hubbard U optimized geometry
data_Li3Mn2O5
_symmetry_space_group_name_H-M 'P 1'
_symmetry_Int_Tables_number 1
_cell_length_a 5.1011
_cell_length_b 5.1011
_cell_length_c 13.3569
_cell_angle_alpha 102.75
_cell_angle_beta 102.75
_cell_angle_gamma 32.79
loop_
_symmetry_equiv_pos_as_xyz
'x,y,z'
loop_
_atom_site_label
_atom_site_fract_x
_atom_site_fract_y
_atom_site_fract_z
Li1 0.0000 0.0000 0.0000
Li2 0.0881 0.0881 0.7164
Li3 0.3027 0.3027 0.0856
Li4 0.5000 0.5000 0.5000
Li5 0.6973 0.6973 0.9144
Li6 0.9119 0.9119 0.2836
Mn1 0.2101 0.2101 0.3932
Mn2 0.3857 0.3857 0.8159
Mn3 0.6143 0.6143 0.1841
Mn4 0.7899 0.7899 0.6068
O1 0.0196 0.0196 0.8478
O2 0.1554 0.1554 0.5545
O3 0.2499 0.2499 0.2371
O4 0.3453 0.3453 0.9414
O5 0.4238 0.4238 0.6610
O6 0.5762 0.5762 0.3390
O7 0.6547 0.6547 0.0586
O8 0.7501 0.7501 0.7629
O9 0.8446 0.8446 0.4455
O10 0.9804 0.9804 0.1522
# Energy: -126.32 eV/cell
# Space-group type: C2/m
# Size of the total moment: 0.7000 μB/atom
# Relative energy among the computed polymorphs: 24 meV per atom

(2)
# LiMn4O8 PBE with a Hubbard U optimized geometry
data_LiMn4O8
_symmetry_space_group_name_H-M 'P 1'
_symmetry_Int_Tables_number 1
_cell_length_a 5.8602
_cell_length_b 5.8602
_cell_length_c 5.8316
_cell_angle_alpha 117.53
_cell_angle_beta 117.53
_cell_angle_gamma 59.87
loop_
_symmetry_equiv_pos_as_xyz
'x,y,z'
loop_
_atom_site_label
_atom_site_fract_x
_atom_site_fract_y
_atom_site_fract_z
Li1 0.0000 0.0000 0.0000
Mn1 0.0000 0.5000 0.0000
Mn2 0.5000 0.0000 0.0000
Mn3 0.5000 0.5000 0.0000
Mn4 0.5000 0.5000 0.5000
O1 0.2381 0.2381 0.2008
O2 0.2537 0.6998 0.2228
O3 0.2738 0.2738 0.8004
O4 0.3002 0.7463 0.7772
O5 0.6998 0.2537 0.2228
O6 0.7262 0.7262 0.1996
O7 0.7463 0.3002 0.7772
O8 0.7619 0.7619 0.7992
# Energy: -90.66 eV/cell
# Space-group type: C2/m
# Size of the total moment: 1.0000 μB/atom
# Relative energy among the computed polymorphs: 13 meV per atom

(3)
# LiMn4O8 PBE with a Hubbard U optimized geometry
data_LiMn4O8
_symmetry_space_group_name_H-M 'P 1'
_symmetry_Int_Tables_number 1
_cell_length_a 5.9083
_cell_length_b 5.9083
_cell_length_c 7.2458
_cell_angle_alpha 127.51
_cell_angle_beta 127.51
_cell_angle_gamma 58.92
loop_
_symmetry_equiv_pos_as_xyz
'x,y,z'
loop_
_atom_site_label
_atom_site_fract_x
_atom_site_fract_y
_atom_site_fract_z
Li1 0.0000 0.0000 0.0000
Mn1 0.2514 0.7486 0.5000
Mn2 0.2623 0.2623 0.0023
Mn3 0.7377 0.7377 0.9977
Mn4 0.7486 0.2514 0.5000
O1 0.0039 0.0039 0.6849
O2 0.0144 0.5392 0.8517
O3 0.4608 0.9856 0.1483
O4 0.4899 0.4899 0.6704
O5 0.5101 0.5101 0.3296
O6 0.5392 0.0144 0.8517
O7 0.9856 0.4608 0.1483
O8 0.9961 0.9961 0.3151
# Energy: -90.46 eV/cell
# Space-group type: C2/m
# Size of the total moment: 1.0000 μB/atom
# Relative energy among the computed polymorphs: 28 meV per atom
# DOS at the Fermi energy: 3.66 states/eV/f.u.

(4)
# Li5Mn4O8 PBE with a Hubbard U optimized geometry
data_Li5Mn4O8
_symmetry_space_group_name_H-M 'P 1'
_symmetry_Int_Tables_number 1
_cell_length_a 6.3409
_cell_length_b 6.3409
_cell_length_c 5.8725
_cell_angle_alpha 116.75
_cell_angle_beta 116.75
_cell_angle_gamma 54.42
loop_
_symmetry_equiv_pos_as_xyz
'x,y,z'
loop_
_atom_site_label
_atom_site_fract_x
_atom_site_fract_y
_atom_site_fract_z
Li1 0.0000 0.0000 0.0000
Li2 0.0000 0.5000 0.0000
Li3 0.0827 0.0827 0.6862
Li4 0.5000 0.0000 0.0000
Li5 0.9173 0.9173 0.3138
Mn1 0.0000 0.5000 0.5000
Mn2 0.5000 0.0000 0.5000
Mn3 0.5000 0.5000 0.0000
Mn4 0.5000 0.5000 0.5000
O1 0.2472 0.2472 0.2642
O2 0.2569 0.7381 0.7330
O3 0.2613 0.2613 0.7480
O4 0.2619 0.7431 0.2670
O5 0.7381 0.2569 0.7330
O6 0.7387 0.7387 0.2520
O7 0.7431 0.2619 0.2670
O8 0.7528 0.7528 0.7358
# Energy: -108.36 eV/cell
# Space-group type: C2/m
# Size of the total moment: 1.0000 μB/atom
# Relative energy among the computed polymorphs: 9 meV per atom
# DOS at the Fermi energy: 3.65 states/eV/f.u.

(5)
# Li7Mn5O12 PBE with a Hubbard U optimized geometry
data_Li7Mn5O12
_symmetry_space_group_name_H-M 'P 1'
_symmetry_Int_Tables_number 1
_cell_length_a 5.0940
_cell_length_b 6.0209
_cell_length_c 7.8010
_cell_angle_alpha 103.67
_cell_angle_beta 97.15
_cell_angle_gamma 104.41
loop_
_symmetry_equiv_pos_as_xyz
'x,y,z'
loop_
_atom_site_label
_atom_site_fract_x
_atom_site_fract_y
_atom_site_fract_z
Li1 0.0000 0.0000 0.0000
Li2 0.4855 0.9170 0.1598
Li3 0.4892 0.2438 0.5011
Li4 0.4957 0.5816 0.8374
Li5 0.5043 0.4184 0.1626
Li6 0.5108 0.7562 0.4989
Li7 0.5145 0.0830 0.8402
Mn1 0.0000 0.5000 0.0000
Mn2 0.0021 0.3326 0.3293
Mn3 0.0058 0.8418 0.3288
Mn4 0.9942 0.1582 0.6712
Mn5 0.9979 0.6674 0.6707
O1 0.2173 0.4505 0.5806
O2 0.2172 0.7567 0.9131
O3 0.2236 0.2958 0.9075
O4 0.2303 0.1279 0.2588
O5 0.2324 0.9647 0.5740
O6 0.2372 0.6367 0.2369
O7 0.7628 0.3633 0.7631
O8 0.7676 0.0353 0.4260
O9 0.7697 0.8721 0.7412
O10 0.7764 0.7042 0.0925
O11 0.7828 0.2433 0.0869
O12 0.7827 0.5495 0.4194
# Energy: -152.89 eV/cell
# Space-group type: P-1
# Size of the total moment: 0.7500 μB/atom
# Relative energy among the computed polymorphs: 20 meV per atom
# DOS at the Fermi energy: 4.00 states/eV/f.u.

(6)
# Li2Mn3O7 PBE with a Hubbard U optimized geometry
data_Li2Mn3O7
_symmetry_space_group_name_H-M 'P 1'
_symmetry_Int_Tables_number 1
_cell_length_a 6.0376
_cell_length_b 6.5226
_cell_length_c 7.6583
_cell_angle_alpha 104.03
_cell_angle_beta 111.68
_cell_angle_gamma 104.93
loop_
_symmetry_equiv_pos_as_xyz
'x,y,z'
loop_
_atom_site_label
_atom_site_fract_x
_atom_site_fract_y
_atom_site_fract_z
Li1 0.2169 0.3484 0.0316
Li2 0.2222 0.2228 0.5694
Li3 0.7778 0.7772 0.4306
Li4 0.7831 0.6516 0.9684
Mn1 0.1428 0.6419 0.7214
Mn2 0.2834 0.7768 0.4224
Mn3 0.4208 0.9213 0.1413
Mn4 0.5792 0.0787 0.8587
Mn5 0.7166 0.2232 0.5776
Mn6 0.8572 0.3581 0.2786
O1 0.0760 0.3595 0.7554
O2 0.0848 0.7891 0.9311
O3 0.2119 0.9121 0.6434
O4 0.2132 0.5070 0.4904
O5 0.3496 0.0531 0.3625
O6 0.3975 0.6749 0.2308
O7 0.4966 0.2036 0.0748
O8 0.5034 0.7964 0.9252
O9 0.6025 0.3251 0.7692
O10 0.6504 0.9469 0.6375
O11 0.7868 0.4930 0.5096
O12 0.7881 0.0879 0.3566
O13 0.9152 0.2109 0.0689
O14 0.9240 0.6405 0.2446
# Energy: -160.17 eV/cell
# Space-group type: P-1
# Size of the total moment: 0.7500 μB/atom

(7)
# LiMn2O3 PBE with a Hubbard U optimized geometry
data_LiMn2O3
_symmetry_space_group_name_H-M 'P 1'
_symmetry_Int_Tables_number 1
_cell_length_a 5.2776
_cell_length_b 5.2847
_cell_length_c 10.0857
_cell_angle_alpha 94.51
_cell_angle_beta 93.78
_cell_angle_gamma 118.22
loop_
_symmetry_equiv_pos_as_xyz
'x,y,z'
loop_
_atom_site_label
_atom_site_fract_x
_atom_site_fract_y
_atom_site_fract_z
Li1 0.0843 0.4216 0.2512
Li2 0.2443 0.2457 0.7419
Li3 0.7557 0.7543 0.2581
Li4 0.9157 0.5784 0.7488
Mn1 0.0000 0.0000 0.0000
Mn2 0.1564 0.8315 0.5016
Mn3 0.3314 0.6611 0.0004
Mn4 0.4190 0.0845 0.2528
Mn5 0.5000 0.5000 0.5000
Mn6 0.5810 0.9155 0.7472
Mn7 0.6686 0.3389 0.9996
Mn8 0.8436 0.1685 0.4984
O1 0.0764 0.7183 0.1212
O2 0.1252 0.1233 0.3692
O3 0.2322 0.5422 0.6194
O4 0.2930 0.9262 0.8795
O5 0.3927 0.3903 0.1111
O6 0.4627 0.7842 0.3837
O7 0.5373 0.2158 0.6163
O8 0.6073 0.6097 0.8889
O9 0.7070 0.0738 0.1205
O10 0.7678 0.4578 0.3806
O11 0.8748 0.8767 0.6308
O12 0.9236 0.2817 0.8788
# Energy: -168.30 eV/cell
# Space-group type: P-1
# Size of the total moment: 1.5000 μB/atom
# Relative energy among the computed polymorphs: 11 meV per atom
# DOS at the Fermi energy: 0.73 states/eV/f.u.

(8)
# Li5Mn3O8 PBE with a Hubbard U optimized geometry
data_Li5Mn3O8
_symmetry_space_group_name_H-M 'P 1'
_symmetry_Int_Tables_number 1
_cell_length_a 5.0061
_cell_length_b 5.0870
_cell_length_c 5.9384
_cell_angle_alpha 91.17
_cell_angle_beta 91.15
_cell_angle_gamma 108.61
loop_
_symmetry_equiv_pos_as_xyz
'x,y,z'
loop_
_atom_site_label
_atom_site_fract_x
_atom_site_fract_y
_atom_site_fract_z
Li1 0.0000 0.0000 0.0000
Li2 0.0000 0.4940 0.7622
Li3 0.0013 0.0045 0.5316
Li4 0.4847 0.9901 0.7755
Li5 0.5089 0.0037 0.2618
Mn1 0.0045 0.5088 0.2575
Mn2 0.5002 0.5018 0.5170
Mn3 0.5006 0.4990 0.0046
O1 0.2512 0.7323 0.4950
O2 0.2531 0.7211 0.0286
O3 0.2642 0.2891 0.2547
O4 0.2672 0.2538 0.7836
O5 0.7136 0.7262 0.7714
O6 0.7518 0.2802 0.0250
O7 0.7654 0.2892 0.4859
O8 0.7657 0.7372 0.2396
# Energy: -100.36 eV/cell
# Space-group type: P1
# Size of the total moment: 0.6250 μB/atom
# Relative energy among the computed polymorphs: 0 meV per atom